# 1
The following is a DFT calculation (PBE) of an optimized crystal structure of Pr2TiP3Rh12.

abc: 7.1450 7.1450 7.1450
angles: 72.25 72.25 72.25
With the nearest neighbours (Å) after each atom.
Fractional positions:
Pr 0.6060 0.6060 0.6060  3 Rh 2.78
Pr 0.3940 0.3940 0.3940  3 Rh 2.78
Ti 0.0000 0.0000 0.0000  6 Rh 2.49
P 0.5000 0.0000 0.0000  6 Rh 2.20-2.29
P 0.0000 0.5000 0.0000  6 Rh 2.20-2.29
P 0.0000 0.0000 0.5000  6 Rh 2.20-2.29
Rh 0.3278 0.3278 0.9094  2 P 2.29
Rh 0.8587 0.8587 0.3631  1 P 2.20
Rh 0.3631 0.8587 0.8587  1 P 2.20
Rh 0.9094 0.3278 0.3278  2 P 2.29
Rh 0.8587 0.3631 0.8587  1 P 2.20
Rh 0.3278 0.9094 0.3278  2 P 2.29
Rh 0.6722 0.6722 0.0906  2 P 2.29
Rh 0.1413 0.1413 0.6369  1 P 2.20
Rh 0.6369 0.1413 0.1413  1 P 2.20
Rh 0.0906 0.6722 0.6722  2 P 2.29
Rh 0.1413 0.6369 0.1413  1 P 2.20
Rh 0.6722 0.0906 0.6722  2 P 2.29

## Properties
DOS at the Fermi energy in states/eV per cell: 17.0
Formation energy from the elements in eV/atom: -0.2893
Mass density in Mg/m³: 8.55

---

# 2
The following is a DFT calculation (PBE) of an optimized crystal structure of PrTmP2Rh5.

abc: 4.0767 4.0767 10.5455
angles: 90.00 90.00 90.00
With the nearest neighbours (Å) after each atom.
Fractional positions:
Pr 0.0000 0.0000 0.5000  4 Rh 2.88
Tm 0.0000 0.0000 0.0000  8 Rh 2.87
P 0.5000 0.5000 0.2844  5 Rh 2.26-2.27
P 0.5000 0.5000 0.7156  5 Rh 2.26-2.27
Rh 0.0000 0.5000 0.1921  2 P 2.26
Rh 0.5000 0.0000 0.1921  2 P 2.26
Rh 0.0000 0.5000 0.8079  2 P 2.26
Rh 0.5000 0.0000 0.8079  2 P 2.26
Rh 0.5000 0.5000 0.5000  2 P 2.27

## Properties
DOS at the Fermi energy in states/eV per cell: 4.2
Formation energy from the elements in eV/atom: -0.7746
Mass density in Mg/m³: 8.40

---

# 3
The following is a DFT calculation (PBE) of an optimized crystal structure of Pr2TmP3Rh4.

abc: 4.0442 4.0442 11.1665
angles: 90.00 90.00 90.00
With the nearest neighbours (Å) after each atom.
Fractional positions:
Pr 0.5000 0.0000 0.2262  4 P 3.08, 8 Rh 3.11-3.24
Pr 0.0000 0.5000 0.7738  4 P 3.08, 8 Rh 3.11-3.24
Tm 0.5000 0.5000 0.5000  4 Rh 2.73, 4 P 2.86
P 0.0000 0.0000 0.5000  4 Rh 2.73, 4 Tm 2.86
P 0.5000 0.0000 0.8757  5 Rh 2.36-2.45
P 0.0000 0.5000 0.1243  5 Rh 2.36-2.45
Rh 0.5000 0.5000 0.0000  4 P 2.45
Rh 0.0000 0.0000 0.0000  4 P 2.45
Rh 0.5000 0.0000 0.6645  1 P 2.36
Rh 0.0000 0.5000 0.3355  1 P 2.36

## Properties
DOS at the Fermi energy in states/eV per cell: 5.4
Formation energy from the elements in eV/atom: -1.0679
Mass density in Mg/m³: 8.69

---

# 4
The following is a DFT calculation (PBE) of an optimized crystal structure of Pr2UP3Rh12.

abc: 7.4512 7.4512 7.4512
angles: 66.94 66.94 66.94
With the nearest neighbours (Å) after each atom.
Fractional positions:
Pr 0.6001 0.6001 0.6001  6 Rh 2.90-3.01
Pr 0.3999 0.3999 0.3999  6 Rh 2.90-3.01
U 0.0000 0.0000 0.0000  6 Rh 2.51
P 0.5000 0.0000 0.0000  6 Rh 2.26
P 0.0000 0.5000 0.0000  6 Rh 2.26
P 0.0000 0.0000 0.5000  6 Rh 2.26
Rh 0.3349 0.3349 0.9086  2 P 2.26
Rh 0.8642 0.8642 0.3782  1 P 2.26, 1 U 2.51
Rh 0.3782 0.8642 0.8642  1 P 2.26, 1 U 2.51
Rh 0.9086 0.3349 0.3349  2 P 2.26
Rh 0.8642 0.3782 0.8642  1 P 2.26, 1 U 2.51
Rh 0.3349 0.9086 0.3349  2 P 2.26
Rh 0.6651 0.6651 0.0914  2 P 2.26
Rh 0.1358 0.1358 0.6218  1 P 2.26, 1 U 2.51
Rh 0.6218 0.1358 0.1358  1 P 2.26, 1 U 2.51
Rh 0.0914 0.6651 0.6651  2 P 2.26
Rh 0.1358 0.6218 0.1358  1 P 2.26, 1 U 2.51
Rh 0.6651 0.0914 0.6651  2 P 2.26

## Properties
DOS at the Fermi energy in states/eV per cell: 13.2
Formation energy from the elements in eV/atom: -0.3646
Mass density in Mg/m³: 9.13

---

# 5
The following is a DFT calculation (PBE) of an optimized crystal structure of PrUP2Rh5.

abc: 4.0402 4.0402 10.6899
angles: 90.00 90.00 90.00
With the nearest neighbours (Å) after each atom.
Fractional positions:
Pr 0.5000 0.5000 0.5000  4 Rh 2.86
U 0.0000 0.0000 0.0000  8 Rh 2.78, 2 P 3.09
P 0.0000 0.0000 0.2891  5 Rh 2.25-2.34
P 0.0000 0.0000 0.7109  5 Rh 2.25-2.34
Rh 0.0000 0.0000 0.5000  2 P 2.25
Rh 0.0000 0.5000 0.1786  2 P 2.34
Rh 0.5000 0.0000 0.8214  2 P 2.34
Rh 0.0000 0.5000 0.8214  2 P 2.34
Rh 0.5000 0.0000 0.1786  2 P 2.34

## Properties
DOS at the Fermi energy in states/eV per cell: 8.4
Formation energy from the elements in eV/atom: -0.5528
Mass density in Mg/m³: 9.09

---

# 6
The following is a DFT calculation (PBE) of an optimized crystal structure of Pr3UP2Rh9.

abc: 6.1167 6.1167 9.1828
angles: 90.00 90.00 120.00
With the nearest neighbours (Å) after each atom.
Fractional positions:
Pr 0.3333 0.6667 0.6757  6 Rh 3.08
Pr 0.0000 0.0000 0.0000  12 Rh 3.06-3.11
Pr 0.6667 0.3333 0.3243  6 Rh 3.08
U 0.0000 0.0000 0.5000  6 Rh 2.53
P 0.3333 0.6667 0.1564  6 Rh 2.26-2.28
P 0.6667 0.3333 0.8436  6 Rh 2.26-2.28
Rh 0.8466 0.1534 0.7115  1 P 2.26
Rh 0.8466 0.6932 0.7115  1 P 2.26
Rh 0.3068 0.1534 0.7115  1 P 2.26
Rh 0.6932 0.8466 0.2885  1 P 2.26
Rh 0.1534 0.3068 0.2885  1 P 2.26
Rh 0.1534 0.8466 0.2885  1 P 2.26
Rh 0.5000 0.0000 0.0000  2 P 2.28
Rh 0.0000 0.5000 0.0000  2 P 2.28
Rh 0.5000 0.5000 0.0000  2 P 2.28

## Properties
DOS at the Fermi energy in states/eV per cell: 5.2
Formation energy from the elements in eV/atom: -0.6383
Mass density in Mg/m³: 9.20

---

# 7
The following is a DFT calculation (PBE) of an optimized crystal structure of Pr2YP3Rh12.

abc: 6.7745 6.7745 6.7745
angles: 84.02 84.02 84.02
With the nearest neighbours (Å) after each atom.
Fractional positions:
Pr 0.6267 0.6267 0.6267  3 Rh 2.59
Pr 0.3733 0.3733 0.3733  3 Rh 2.59
Y 0.0000 0.0000 0.0000  6 Rh 2.68
P 0.5000 0.0000 0.0000  2 Rh 2.23
P 0.0000 0.5000 0.0000  2 Rh 2.23
P 0.0000 0.0000 0.5000  2 Rh 2.23
Rh 0.3647 0.3647 0.9119  2 P 2.58, 1 Rh 2.70
Rh 0.8233 0.8233 0.3349  1 P 2.23
Rh 0.3349 0.8233 0.8233  1 P 2.23
Rh 0.9119 0.3647 0.3647  2 P 2.58, 1 Rh 2.70
Rh 0.8233 0.3349 0.8233  1 P 2.23
Rh 0.3647 0.9119 0.3647  2 P 2.58, 1 Rh 2.70
Rh 0.6353 0.6353 0.0881  2 P 2.58, 1 Rh 2.70
Rh 0.1767 0.1767 0.6651  1 P 2.23
Rh 0.6651 0.1767 0.1767  1 P 2.23
Rh 0.0881 0.6353 0.6353  2 P 2.58, 1 Rh 2.70
Rh 0.1767 0.6651 0.1767  1 P 2.23
Rh 0.6353 0.0881 0.6353  2 P 2.58, 1 Rh 2.70

## Properties
DOS at the Fermi energy in states/eV per cell: 19.1
Formation energy from the elements in eV/atom: -0.3138
Mass density in Mg/m³: 9.21

---

# 8
The following is a DFT calculation (PBE) of an optimized crystal structure of Pr2ZnP3Rh12.

abc: 7.0782 7.0782 7.0782
angles: 73.51 73.51 73.51
With the nearest neighbours (Å) after each atom.
Fractional positions:
Pr 0.6076 0.6076 0.6076  3 Rh 2.75
Pr 0.3924 0.3924 0.3924  3 Rh 2.75
Zn 0.0000 0.0000 0.0000  6 Rh 2.48
P 0.5000 0.0000 0.0000  6 Rh 2.20-2.30
P 0.0000 0.5000 0.0000  6 Rh 2.20-2.30
P 0.0000 0.0000 0.5000  6 Rh 2.20-2.30
Rh 0.3314 0.3314 0.9134  2 P 2.30
Rh 0.8563 0.8563 0.3580  1 P 2.20
Rh 0.3580 0.8563 0.8563  1 P 2.20
Rh 0.9134 0.3314 0.3314  2 P 2.30
Rh 0.8563 0.3580 0.8563  1 P 2.20
Rh 0.3314 0.9134 0.3314  2 P 2.30
Rh 0.6686 0.6686 0.0866  2 P 2.30
Rh 0.1437 0.1437 0.6420  1 P 2.20
Rh 0.6420 0.1437 0.1437  1 P 2.20
Rh 0.0866 0.6686 0.6686  2 P 2.30
Rh 0.1437 0.6420 0.1437  1 P 2.20
Rh 0.6686 0.0866 0.6686  2 P 2.30

## Properties
DOS at the Fermi energy in states/eV per cell: 12.4
Formation energy from the elements in eV/atom: -0.2334
Mass density in Mg/m³: 8.75

---

# 9
The following is a DFT calculation (PBE) of an optimized crystal structure of Pr3ZnP2Rh9.

abc: 6.3198 6.3198 8.0502
angles: 90.00 90.00 120.00
With the nearest neighbours (Å) after each atom.
Fractional positions:
Pr 0.3333 0.6667 0.6523  12 Rh 3.17-3.34
Pr 0.0000 0.0000 0.0000  12 Rh 3.11-3.16
Pr 0.6667 0.3333 0.3477  12 Rh 3.17-3.34
Zn 0.0000 0.0000 0.5000  6 Rh 2.38
P 0.3333 0.6667 0.1625  6 Rh 2.18-2.24
P 0.6667 0.3333 0.8375  6 Rh 2.18-2.24
Rh 0.8324 0.1676 0.6882  1 P 2.18, 1 Zn 2.38
Rh 0.8324 0.6649 0.6882  1 P 2.18, 1 Zn 2.38
Rh 0.3351 0.1676 0.6882  1 P 2.18, 1 Zn 2.38
Rh 0.6649 0.8324 0.3118  1 P 2.18, 1 Zn 2.38
Rh 0.1676 0.3351 0.3118  1 P 2.18, 1 Zn 2.38
Rh 0.1676 0.8324 0.3118  1 P 2.18, 1 Zn 2.38
Rh 0.5000 0.0000 0.0000  2 P 2.24
Rh 0.0000 0.5000 0.0000  2 P 2.24
Rh 0.5000 0.5000 0.0000  2 P 2.24

## Properties
DOS at the Fermi energy in states/eV per cell: 1.5
Formation energy from the elements in eV/atom: -0.5740
Mass density in Mg/m³: 8.80

---

# 10
The following is a DFT calculation (PBE) of an optimized crystal structure of PrZn2PRh2.

abc: 4.4690 4.4690 5.6447
angles: 90.00 90.00 90.00
With the nearest neighbours (Å) after each atom.
Fractional positions:
Pr 0.0000 0.0000 0.5000  2 P 2.82
Zn 0.5000 0.5000 0.7295  1 Zn 2.59, 4 Rh 2.71
Zn 0.5000 0.5000 0.2705  1 Zn 2.59, 4 Rh 2.71
P 0.0000 0.0000 0.0000  4 Rh 2.23
Rh 0.5000 0.0000 0.0000  2 P 2.23
Rh 0.0000 0.5000 0.0000  2 P 2.23

## Properties
DOS at the Fermi energy in states/eV per cell: 5.2
Formation energy from the elements in eV/atom: -0.5611
Mass density in Mg/m³: 7.49